(1)
8
Lattice="-1.191 3.150 -2.167 -3.117 -2.114 -1.360 -6.656 3.126 4.503" Properties=species:S:1:pos:R:3 comment="ZrBeRh2, relaxed, DFT PBE" delta_e_f_ev_per_atom=-0.1309 spacegroup="No. 122" pbc="T T T"
Zr -5.001 3.397 0.286
Zr 0.000 0.000 0.000
Be -2.154 0.518 -1.763
Be -5.964 0.765 0.690
Rh -6.746 2.640 1.994
Rh -8.624 3.345 0.352
Rh -3.814 -0.006 -0.091
Rh -2.745 2.347 -0.303



(2)
4
Lattice="2.926 0.000 0.000 0.000 2.926 0.000 0.000 0.000 6.270" Properties=species:S:1:pos:R:3 comment="ZrBe2Rh, relaxed, DFT PBE" delta_e_f_ev_per_atom=-0.2673 spacegroup="No. 99" pbc="T T T"
Rh 0.000 0.000 2.735
Zr 1.463 1.463 4.724
Be 1.463 1.463 1.551
Be 0.000 0.000 0.394



(3)
4
Lattice="2.888 0.000 0.000 0.000 2.953 0.000 0.000 0.000 6.168" Properties=species:S:1:pos:R:3 comment="ZrBe2Rh, relaxed, DFT PBE" delta_e_f_ev_per_atom=-0.3937 spacegroup="No. 47" pbc="T T T"
Be 0.000 0.000 0.384
Be 0.000 0.000 2.700
Zr 1.444 1.476 4.626
Rh 1.444 1.476 1.542



(4)
4
Lattice="-3.402 -1.889 3.685 -0.467 -5.304 0.613 3.927 3.636 -0.289" Properties=species:S:1:pos:R:3 comment="Zr2BeRh, relaxed, DFT PBE" delta_e_f_ev_per_atom=-0.2735 spacegroup="No. 119" pbc="T T T"
Zr 0.000 0.000 0.000
Zr 0.763 -2.632 1.236
Be -1.934 -3.596 2.149
Rh -0.705 -0.925 2.772



(5)
4
Lattice="3.264 0.000 0.000 0.000 3.264 0.000 0.000 0.000 5.695" Properties=species:S:1:pos:R:3 comment="ZrBeRh2, relaxed, DFT PBE" delta_e_f_ev_per_atom=-0.4772 spacegroup="No. 99" pbc="T T T"
Rh 1.632 1.632 1.469
Rh 0.000 0.000 5.305
Be 1.632 1.632 4.654
Zr 0.000 0.000 2.809



(6)
9
Lattice="-2.385 1.750 0.612 -1.398 -3.951 5.850 5.779 5.132 0.421" Properties=species:S:1:pos:R:3 comment="Zr2BeRh6, relaxed, DFT PBE" delta_e_f_ev_per_atom=-0.2855 spacegroup="No. 12" pbc="T T T"
Rh 1.805 4.759 0.916
Rh -1.515 -0.035 1.654
Rh 0.943 2.323 4.523
Rh 1.053 0.608 2.360
Rh -2.268 -2.165 4.807
Rh 0.191 -1.827 5.966
Zr -0.767 0.056 4.281
Zr 2.763 2.875 2.602
Be 0.000 0.000 0.000



(7)
4
Lattice="-2.853 -1.669 2.312 0.084 -2.845 -1.950 3.613 -3.371 2.026" Properties=species:S:1:pos:R:3 comment="Zr2BeRh, relaxed, DFT PBE" delta_e_f_ev_per_atom=-0.4422 spacegroup="No. 38" pbc="T T T"
Zr -0.171 -2.745 1.326
Zr 3.394 -5.876 -0.053
Be 1.773 -3.591 -0.404
Rh 1.395 -4.996 1.633



(8)
6
Lattice="-2.149 3.813 -3.104 4.751 -2.262 -1.050 -3.446 -4.083 -0.500" Properties=species:S:1:pos:R:3 comment="Zr4BeRh, relaxed, DFT PBE" delta_e_f_ev_per_atom=-0.3273 spacegroup="No. 97" pbc="T T T"
Zr -1.457 1.316 -2.013
Zr -2.836 -0.810 -3.669
Zr 0.195 -1.808 -2.144
Zr 2.412 -3.761 -1.484
Rh 0.000 0.000 0.000
Be 1.301 0.775 -2.077



Number 1: total magnetization 0.000 μB per formula unit. Number 2: total magnetization 0.000 μB per formula unit. Number 3: total magnetization 0.000 μB per formula unit. Number 4: total magnetization 0.000 μB per formula unit. Number 5: total magnetization 0.000 μB per formula unit. Number 6: total magnetization 0.000 μB per formula unit. Number 7: total magnetization 0.000 μB per formula unit. Number 8: total magnetization 0.000 μB per formula unit.